Entry from the Alexandria database: KMo3O9 after structural relaxation (GGA+U).

Unit cell a=8.385 b=8.385 c=8.830 alpha=90.00 beta=90.00 gamma=106.77
Positions (direct):
K (0.123, 0.123, 0.000)
K (0.877, 0.877, 0.500)
Mo (0.248, 0.248, 0.500)
Mo (0.289, 0.685, 0.961)
Mo (0.315, 0.711, 0.539)
Mo (0.685, 0.289, 0.039)
Mo (0.711, 0.315, 0.461)
Mo (0.752, 0.752, 0.000)
O (0.138, 0.154, 0.341)
O (0.154, 0.138, 0.659)
O (0.180, 0.801, 0.056)
O (0.199, 0.820, 0.444)
O (0.216, 0.473, 0.003)
O (0.243, 0.470, 0.505)
O (0.273, 0.727, 0.750)
O (0.470, 0.243, 0.495)
O (0.473, 0.216, 0.997)
O (0.527, 0.784, 0.497)
O (0.530, 0.757, 0.995)
O (0.727, 0.273, 0.250)
O (0.757, 0.530, 0.005)
O (0.784, 0.527, 0.503)
O (0.801, 0.180, 0.944)
O (0.820, 0.199, 0.556)
O (0.846, 0.862, 0.159)
O (0.862, 0.846, 0.841)

Calculated values
spin magnetization: 2.0 Bohr magnetons per cell
E_tot: -6.7155 eV per atom
space group: No. 20
energy above the lowest structure with this stoichiometry: 1.09 eV per formula unit
crystal system: orthorhombic